1:
Tl2TcHg | GGA-PBE | relaxed

Values from the calculation:
Size of the total moment, μB/cell: 0.000

a b c (Å): 3.6959 3.6959 6.3622
angles (deg): 90.00 90.00 90.00
Last column: nearest neighbours and their distance in Å.
Space group P4/mmm (No. 123)
Symmetry-distinct sites (fractional):
Tl  0.0000  0.0000  0.2301 x2  1 Tl 2.93, 4 Tc 3.00, 4 Hg 3.13
Tc  0.5000  0.5000  0.0000 x1  8 Tl 3.00, 2 Hg 3.18
Hg  0.5000  0.5000  0.5000 x1  8 Tl 3.13, 2 Tc 3.18

2:
Tl2TcHg | GGA-PBE | relaxed

Values from the calculation:
Size of the total moment, μB/cell: 2.020

a b c (Å): 3.1603 3.1603 9.5772
angles (deg): 90.00 90.00 90.00
Last column: nearest neighbours and their distance in Å.
Space group P4/mmm (No. 123)
Symmetry-distinct sites (fractional):
Tl  0.0000  0.0000  0.2062 x2  4 Tc 2.98, 4 Tl 3.16
Tc  0.5000  0.5000  0.0000 x1  8 Tl 2.98, 4 Tc 3.16
Hg  0.5000  0.5000  0.5000 x1  4 Hg 3.16

According to the calculations, the structures order from most to least stable as 2, 1.

1:
Tl2TcHg | GGA-PBE | relaxed

Values from the calculation:
Size of the total moment, μB/cell: 0.876

a b c (Å): 3.0044 4.7693 13.8555
angles (deg): 90.00 90.00 90.00
Last column: nearest neighbours and their distance in Å.
Space group Imm2 (No. 44)
Symmetry-distinct sites (fractional):
Tl  0.0000  0.0000  0.0000 x2  4 Tc 2.82, 2 Tl 3.00
Tl  0.0000  0.5000  0.1867 x2  2 Tc 2.95, 2 Tl 3.00
Tc  0.0000  0.0000  0.5033 x2  6 Tl 2.82-2.95, 2 Hg 2.89, 2 Tc 3.00
Hg  0.0000  0.5000  0.8248 x2  2 Tc 2.89, 2 Hg 3.00

2:
Tl2TcHg | GGA-PBE | relaxed

Values from the calculation:
Size of the total moment, μB/cell: 2.380

a b c (Å): 3.2792 3.2792 29.3362
angles (deg): 90.00 90.00 120.00
Last column: nearest neighbours and their distance in Å.
Space group R-3m (No. 166, hexagonal axes)
Symmetry-distinct sites (fractional):
Tl  0.0000  0.0000  0.2413 x6  3 Tc 2.89
Tc  0.0000  0.0000  0.5000 x3  6 Tl 2.89
Hg  0.0000  0.0000  0.0000 x3  6 Hg 3.28, 6 Tl 3.30

According to the calculations, the structures order from most to least stable as 1, 2.

1:
Tl2TcHg | GGA-PBE | relaxed

Values from the calculation:
Size of the total moment, μB/cell: 3.502

a b c (Å): 3.2348 3.2348 30.4351
angles (deg): 90.00 90.00 120.00
Last column: nearest neighbours and their distance in Å.
Space group R3m (No. 160, hexagonal axes)
Symmetry-distinct sites (fractional):
Tl  0.0000  0.0000  0.0000 x3  9 Tl 3.23-3.47, 3 Hg 3.35
Tl  0.0000  0.0000  0.2371 x3  3 Tc 2.91, 6 Tl 3.23
Tc  0.0000  0.0000  0.4970 x3  3 Hg 2.88, 3 Tl 2.91
Hg  0.0000  0.0000  0.7581 x3  3 Tc 2.88

2:
Tl2TcHg | GGA-PBE | relaxed

Values from the calculation:
Size of the total moment, μB/cell: 0.000

a b c (Å): 14.9351 2.9405 4.8789
angles (deg): 90.00 109.01 90.00
Last column: nearest neighbours and their distance in Å.
Space group C2/m (No. 12)
Symmetry-distinct sites (fractional):
Tl  0.1757  0.0000  0.1760 x4  2 Tc 2.88, 2 Tl 2.94
Tc  0.0000  0.5000  0.0000 x2  4 Hg 2.85, 4 Tl 2.88, 2 Tc 2.94
Hg  0.0000  0.0000  0.5000 x2  4 Tc 2.85, 2 Hg 2.94

3:
Tl2TcHg | GGA-PBE | relaxed

Values from the calculation:
Size of the total moment, μB/cell: 1.858

a b c (Å): 3.2086 5.1995 5.4913
angles (deg): 90.00 90.00 90.00
Last column: nearest neighbours and their distance in Å.
Space group Pmmm (No. 47)
Symmetry-distinct sites (fractional):
Tl  0.0000  0.0000  0.0000 x1  4 Hg 3.05, 6 Tl 3.18-3.21
Tl  0.5000  0.0000  0.5000 x1  4 Tc 3.05, 6 Tl 3.18-3.21
Tc  0.0000  0.5000  0.5000 x1  4 Tl 3.05, 4 Hg 3.18, 2 Tc 3.21
Hg  0.5000  0.5000  0.0000 x1  4 Tl 3.05, 4 Tc 3.18, 2 Hg 3.21

According to the calculations, the structures order from most to least stable as 2, 1, 3.

1:
TlTc2Hg2 | GGA-PBE | relaxed

Values from the calculation:
Size of the total moment, μB/cell: 0.000

a b c (Å): 8.6550 8.6550 2.8895
angles (deg): 90.00 90.00 90.00
Last column: nearest neighbours and their distance in Å.
Space group P4/mbm (No. 127)
Symmetry-distinct sites (fractional):
Tl  0.0000  0.0000  0.0000 x2  2 Tl 2.89, 4 Hg 3.13
Tc  0.0910  0.4090  0.5000 x4  1 Tc 2.23
Hg  0.1951  0.6951  0.0000 x4  2 Hg 2.89, 6 Tc 2.99-3.01, 2 Tl 3.13

2:
TlTc2Hg2 | GGA-PBE | relaxed

Values from the calculation:
Size of the total moment, μB/cell: 0.000

a b c (Å): 3.4920 3.4920 18.8465
angles (deg): 90.00 90.00 90.00
Last column: nearest neighbours and their distance in Å.
Space group I4/mmm (No. 139)
Symmetry-distinct sites (fractional):
Tl  0.0000  0.0000  0.0000 x2  8 Hg 3.36, 4 Tl 3.49
Tc  0.0000  0.5000  0.2500 x4  4 Tc 2.47
Hg  0.0000  0.0000  0.3790 x4  4 Tc 2.99

According to the calculations, the structures order from most to least stable as 2, 1.

1:
Tm4TcHg | GGA-PBE | relaxed

Values from the calculation:
Size of the total moment, μB/cell: 0.000

a b c (Å): 8.4321 12.4848 6.2055
angles (deg): 90.00 105.82 90.00
Last column: nearest neighbours and their distance in Å.
Space group C2/c (No. 15)
Symmetry-distinct sites (fractional):
Tm  0.1047  0.1712  0.0428 x8  2 Tc 2.75-2.80
Tm  0.2182  0.4203  0.4040 x8  2 Tc 2.90-2.97, 2 Hg 3.16-3.24
Tc  0.0000  0.0011  0.2500 x4  8 Tm 2.75-2.97
Hg  0.0000  0.3729  0.7500 x4  8 Tm 3.09-3.28

2:
Tm4TcHg | GGA-PBE | relaxed

Values from the calculation:
Size of the total moment, μB/cell: 0.000

a b c (Å): 4.9891 4.9891 23.1461
angles (deg): 90.00 90.00 120.00
Last column: nearest neighbours and their distance in Å.
Space group R-3m (No. 166, hexagonal axes)
Symmetry-distinct sites (fractional):
Tm  0.0000  0.0000  0.1180 x6  1 Tc 2.73
Tm  0.0000  0.0000  0.3661 x6  3 Tc 2.98, 1 Hg 3.10, 3 Tm 3.25
Tc  0.0000  0.0000  0.0000 x3  8 Tm 2.73-2.98
Hg  0.0000  0.0000  0.5000 x3  8 Tm 3.09-3.10

According to the calculations, the structures order from most to least stable as 1, 2.

1:
TcHg2W | GGA-PBE | relaxed

Values from the calculation:
Size of the total moment, μB/cell: 0.004

a b c (Å): 9.7761 2.9448 5.0337
angles (deg): 90.00 100.10 90.00
Last column: nearest neighbours and their distance in Å.
Space group C2/m (No. 12)
Symmetry-distinct sites (fractional):
Tc  0.0000  0.0000  0.0000 x2  4 W 2.92, 6 Hg 2.93-2.95, 2 Tc 2.94
Hg  0.2484  0.5000  0.2483 x4  6 Hg 2.91-2.94, 3 Tc 2.93-2.95, 3 W 2.93-2.95
W  0.0000  0.5000  0.5000 x2  4 Tc 2.92, 6 Hg 2.93-2.95, 2 W 2.94

2:
TcHg2W | GGA-PBE | relaxed

Values from the calculation:
Size of the total moment, μB/cell: 0.000

a b c (Å): 6.5489 6.5489 6.5489
angles (deg): 90.00 90.00 90.00
Last column: nearest neighbours and their distance in Å.
Space group Fm-3m (No. 225)
Symmetry-distinct sites (fractional):
Tc  0.0000  0.0000  0.0000 x4  8 Hg 2.84
Hg  0.2500  0.2500  0.2500 x8  4 W 2.84, 4 Tc 2.84
W  0.0000  0.0000  0.5000 x4  8 Hg 2.84

According to the calculations, the structures order from most to least stable as 1, 2.